[1]
The following is a PBE-GGA calculation of GaAgTe2I after structural relaxation, from Alexandria via LeMat-Bulk.

Unit cell a=6.0100 b=6.0100 c=5.7418 alpha=90.00 beta=90.00 gamma=90.00
Closest atoms and distances in Å follow each position.
Space group P4/mmm (No. 123)
Unique sites:
1 Ga 0.0000 0.0000 0.0000 [1 per cell]  2 I 2.87
2 Ag 0.5000 0.5000 0.0000 [1 per cell]  8 Te 4.16, 4 Ga 4.25
3 Te 0.0000 0.5000 0.5000 [2 per cell]  2 I 3.01
4 I 0.0000 0.0000 0.5000 [1 per cell]  2 Ga 2.87, 4 Te 3.01

Its total energy is -1.9959 eV/atom.



[2]
The following is a PBE-GGA calculation of CoBi after structural relaxation, from Alexandria via LeMat-Bulk.

Unit cell a=6.7554 b=3.6680 c=7.6074 alpha=90.00 beta=108.58 gamma=90.00
Closest atoms and distances in Å follow each position.
Space group Cm (No. 8)
Unique sites:
1 Co 0.0000 0.0000 0.0000 [2 per cell]  3 Co 2.31-2.33
2 Co 0.1361 0.5000 0.8941 [2 per cell]  3 Co 2.31-2.33
3 Bi 0.2369 0.0000 0.6850 [2 per cell]  3 Co 2.65-2.66
4 Bi 0.2683 0.5000 0.2593 [2 per cell]  4 Co 2.63-2.88

The calculated formation energy comes out at 0.317 eV per atom.



[3]
The following is a PBE-GGA calculation of YSnSbTe2 after structural relaxation, from Alexandria via LeMat-Bulk.

Unit cell a=5.7954 b=5.7954 c=5.8225 alpha=90.00 beta=90.00 gamma=90.00
Closest atoms and distances in Å follow each position.
Space group P4/mmm (No. 123)
Unique sites:
1 Y 0.0000 0.0000 0.0000 [1 per cell]  4 Te 2.90, 2 Sb 2.91
2 Sn 0.5000 0.5000 0.5000 [1 per cell]  4 Sb 4.10, 8 Te 4.11
3 Sb 0.0000 0.0000 0.5000 [1 per cell]  2 Y 2.91
4 Te 0.0000 0.5000 0.0000 [2 per cell]  2 Y 2.90

Its total energy is -4.1738 eV/atom.



[4]
The following is a PBE-GGA calculation of Ac3HoPu3Se8 after structural relaxation, from Alexandria via LeMat-Bulk.

Unit cell a=8.4915 b=8.4915 c=21.4775 alpha=90.00 beta=90.00 gamma=120.00
Closest atoms and distances in Å follow each position.
Space group R-3m (No. 166, hexagonal axes)
Unique sites:
1 Ac 0.0000 0.5000 0.0000 [9 per cell]  6 Se 3.12-3.13
2 Ho 0.0000 0.0000 0.5000 [3 per cell]  6 Se 2.92
3 Pu 0.0000 0.5000 0.5000 [9 per cell]  6 Se 2.94-2.96
4 Se 0.0000 0.0000 0.2424 [6 per cell]  3 Pu 2.94, 3 Ac 3.13
5 Se 0.0042 0.5021 0.2425 [18 per cell]  1 Ho 2.92, 2 Pu 2.96, 2 Ac 3.12

Its total energy is -7.5874 eV/atom.



[5]
The following is a PBE-GGA calculation of KCdInSn after structural relaxation, from Alexandria via LeMat-Bulk.

Unit cell a=7.7505 b=7.7505 c=7.7505 alpha=90.00 beta=90.00 gamma=90.00
Closest atoms and distances in Å follow each position.
Space group F-43m (No. 216)
Unique sites:
1 K 0.0000 0.0000 0.0000 [4 per cell]  4 Cd 3.36, 4 In 3.36
2 Cd 0.2500 0.2500 0.7500 [4 per cell]  4 Sn 3.36, 4 K 3.36
3 In 0.2500 0.2500 0.2500 [4 per cell]  4 K 3.36, 4 Sn 3.36
4 Sn 0.0000 0.0000 0.5000 [4 per cell]  4 In 3.36, 4 Cd 3.36

The calculated formation energy comes out at -0.037 eV per atom.



[6]
The following is a PBE-GGA calculation of Cs2PuAgCl8 after structural relaxation, from Alexandria via LeMat-Bulk.

Unit cell a=6.6539 b=7.0409 c=11.1246 alpha=89.85 beta=89.96 gamma=78.43
Closest atoms and distances in Å follow each position.
Space group P-1 (No. 2)
Unique sites:
1 Cs 0.0010 0.4992 0.2433 [2 per cell]  6 Cl 3.41-3.81
2 Pu 0.5000 0.0000 0.5000 [1 per cell]  6 Cl 2.54
3 Ag 0.5000 0.0000 0.0000 [1 per cell]  2 Cl 2.34
4 Cl 0.1366 0.2006 0.5009 [2 per cell]  1 Pu 2.54
5 Cl 0.1917 0.2284 0.9999 [2 per cell]  1 Ag 2.34
6 Cl 0.4066 0.7833 0.3362 [2 per cell]  1 Pu 2.54
7 Cl 0.4084 0.7806 0.6638 [2 per cell]  1 Pu 2.54

Its total energy is -4.2707 eV/atom.



[7]
The following is a PBE-GGA calculation of SbIrPb2 after structural relaxation, from Alexandria via LeMat-Bulk.

Unit cell a=4.5650 b=4.5650 c=9.2972 alpha=90.00 beta=90.00 gamma=90.00
Closest atoms and distances in Å follow each position.
Space group I4/mmm (No. 139)
Unique sites:
1 Sb 0.0000 0.0000 0.0000 [2 per cell]  4 Ir 3.23, 8 Pb 3.26
2 Ir 0.0000 0.0000 0.5000 [2 per cell]  4 Sb 3.23, 8 Pb 3.26
3 Pb 0.0000 0.5000 0.2500 [4 per cell]  4 Pb 3.23, 4 Sb 3.26, 4 Ir 3.26

Its total energy is -4.6491 eV/atom.



[8]
The following is a PBE-GGA calculation of CdSi4Se after structural relaxation, from Alexandria via LeMat-Bulk.

Unit cell a=7.5351 b=7.5351 c=7.5351 alpha=90.00 beta=90.00 gamma=90.00
Closest atoms and distances in Å follow each position.
Space group F-43m (No. 216)
Unique sites:
1 Cd 0.0000 0.0000 0.0000 [4 per cell]  12 Si 3.12, 4 Se 3.26
2 Si 0.1251 0.1251 0.6251 [16 per cell]  6 Si 2.66-2.67
3 Se 0.2500 0.2500 0.2500 [4 per cell]  12 Si 3.12, 4 Cd 3.26

Its total energy is -3.8144 eV/atom.



[9]
The following is a PBE-GGA calculation of AlPbS2 after structural relaxation, from Alexandria via LeMat-Bulk.

Unit cell a=6.5918 b=6.5918 c=9.4685 alpha=90.00 beta=90.00 gamma=90.00
Closest atoms and distances in Å follow each position.
Space group I-42d (No. 122)
Unique sites:
1 Al 0.0000 0.0000 0.0000 [4 per cell]  4 S 2.27
2 Pb 0.0000 0.0000 0.5000 [4 per cell]  4 S 3.05
3 S 0.1553 0.2500 0.1250 [8 per cell]  2 Al 2.27

Its total energy is -4.4878 eV/atom.



[10]
The following is a PBE-GGA calculation of Ta3In2Cl9 after structural relaxation, from Alexandria via LeMat-Bulk.

Unit cell a=10.6391 b=16.5072 c=9.7658 alpha=90.00 beta=115.62 gamma=90.00
Closest atoms and distances in Å follow each position.
Space group C2/m (No. 12)
Unique sites:
1 Ta 0.1156 0.0000 0.3771 [4 per cell]  5 Cl 2.48-2.61
2 Ta 0.1270 0.0876 0.6402 [8 per cell]  5 Cl 2.47-2.65
3 In 0.1090 0.3426 0.8334 [8 per cell]  4 Cl 3.08-3.40
4 Cl 0.0000 0.2097 0.5000 [4 per cell]  2 Ta 2.48
5 Cl 0.0143 0.1049 0.8127 [8 per cell]  2 Ta 2.47-2.48
6 Cl 0.1939 0.5000 0.1662 [4 per cell]  2 Ta 2.49
7 Cl 0.2077 0.3000 0.1760 [8 per cell]  1 Ta 2.65
8 Cl 0.2115 0.3946 0.4792 [8 per cell]  2 Ta 2.48
9 Cl 0.2365 0.5000 0.7778 [4 per cell]  1 Ta 2.61

Its total energy is -5.2706 eV/atom.



[11]
The following is a PBE-GGA calculation of ReTc5 after structural relaxation, from Alexandria via LeMat-Bulk.

Unit cell a=3.8853 b=11.6769 c=3.8817 alpha=90.00 beta=90.00 gamma=90.00
Closest atoms and distances in Å follow each position.
Space group Cmmm (No. 65)
Unique sites:
1 Re 0.0000 0.0000 0.0000 [2 per cell]  12 Tc 2.75
2 Tc 0.0000 0.1668 0.5000 [4 per cell]  10 Tc 2.75, 2 Re 2.75
3 Tc 0.0000 0.3334 0.0000 [4 per cell]  10 Tc 2.75, 2 Re 2.75
4 Tc 0.0000 0.5000 0.5000 [2 per cell]  4 Re 2.75, 8 Tc 2.75

The calculated formation energy comes out at 0.060 eV per atom.



[12]
The following is a PBE-GGA calculation of LiPmBiPt after structural relaxation, from Alexandria via LeMat-Bulk.

Unit cell a=7.0507 b=7.0507 c=7.0507 alpha=90.00 beta=90.00 gamma=90.00
Closest atoms and distances in Å follow each position.
Space group F-43m (No. 216)
Unique sites:
1 Li 0.0000 0.0000 0.0000 [4 per cell]  4 Bi 3.05, 4 Pm 3.05
2 Pm 0.2500 0.2500 0.7500 [4 per cell]  4 Li 3.05, 4 Pt 3.05
3 Bi 0.2500 0.2500 0.2500 [4 per cell]  4 Pt 3.05, 4 Li 3.05
4 Pt 0.0000 0.0000 0.5000 [4 per cell]  4 Pm 3.05, 4 Bi 3.05

The calculated formation energy comes out at -0.656 eV per atom.